Entry 1
# Ga3AuF

Crystalline Ga3AuF at its relaxed geometry (PBE, Alexandria via LeMat-Bulk).

Geometry as CIF:
```
data_Ga3AuF
_cell_length_a 4.647
_cell_length_b 4.647
_cell_length_c 4.647
_cell_angle_alpha 90.00
_cell_angle_beta 90.00
_cell_angle_gamma 90.00
_symmetry_space_group_name_H-M 'P 1'
_symmetry_Int_Tables_number 1
loop_
_symmetry_equiv_pos_as_xyz
'x,y,z'
loop_
_atom_site_label
_atom_site_type_symbol
_atom_site_fract_x
_atom_site_fract_y
_atom_site_fract_z
Ga1 Ga 0.000 0.000 0.500
Ga2 Ga 0.000 0.500 0.000
Ga3 Ga 0.500 0.000 0.000
Au1 Au 0.500 0.500 0.500
F1 F 0.000 0.000 0.000
```

Summary:
The calculation puts the spin magnetization at 0.000 μB/atom.



Entry 2
# Ga3AuF

Crystalline Ga3AuF at its relaxed geometry (PBE, Alexandria via LeMat-Bulk).

Geometry as CIF:
```
data_Ga3AuF
_cell_length_a 5.019
_cell_length_b 5.019
_cell_length_c 5.019
_cell_angle_alpha 90.00
_cell_angle_beta 90.00
_cell_angle_gamma 90.00
_symmetry_space_group_name_H-M 'P 1'
_symmetry_Int_Tables_number 1
loop_
_symmetry_equiv_pos_as_xyz
'x,y,z'
loop_
_atom_site_label
_atom_site_type_symbol
_atom_site_fract_x
_atom_site_fract_y
_atom_site_fract_z
Ga1 Ga 0.000 0.000 0.500
Ga2 Ga 0.000 0.500 0.000
Ga3 Ga 0.500 0.000 0.000
Au1 Au 0.000 0.000 0.000
F1 F 0.500 0.500 0.500
```

Summary:
The calculation puts the spin magnetization at 0.000 μB/atom.



Relative energies with respect to the most stable structure, expressed in meV/atom: entry 1 0; entry 2 40.



Entry 1
# GaAuF2

Crystalline GaAuF2 at its relaxed geometry (PBE, Alexandria via LeMat-Bulk).

Geometry as CIF:
```
data_GaAuF2
_cell_length_a 9.839
_cell_length_b 9.839
_cell_length_c 9.839
_cell_angle_alpha 17.50
_cell_angle_beta 17.50
_cell_angle_gamma 17.50
_symmetry_space_group_name_H-M 'P 1'
_symmetry_Int_Tables_number 1
loop_
_symmetry_equiv_pos_as_xyz
'x,y,z'
loop_
_atom_site_label
_atom_site_type_symbol
_atom_site_fract_x
_atom_site_fract_y
_atom_site_fract_z
Ga1 Ga 0.000 0.000 0.000
Au1 Au 0.500 0.500 0.500
F1 F 0.377 0.377 0.377
F2 F 0.623 0.623 0.623
```

Summary:
The calculation puts the spin magnetization at 0.000 μB/atom.



Entry 2
# GaAuF2

Crystalline GaAuF2 at its relaxed geometry (PBE, Alexandria via LeMat-Bulk).

Geometry as CIF:
```
data_GaAuF2
_cell_length_a 4.363
_cell_length_b 4.363
_cell_length_c 4.363
_cell_angle_alpha 60.00
_cell_angle_beta 60.00
_cell_angle_gamma 60.00
_symmetry_space_group_name_H-M 'P 1'
_symmetry_Int_Tables_number 1
loop_
_symmetry_equiv_pos_as_xyz
'x,y,z'
loop_
_atom_site_label
_atom_site_type_symbol
_atom_site_fract_x
_atom_site_fract_y
_atom_site_fract_z
Ga1 Ga 0.000 0.000 0.000
Au1 Au 0.500 0.500 0.500
F1 F 0.250 0.250 0.250
F2 F 0.750 0.750 0.750
```

Summary:
The calculation puts the spin magnetization at 0.000 μB/atom.



Relative energies with respect to the most stable structure, expressed in meV/atom: entry 1 0; entry 2 336.



Entry 1
# GaAu3F

Crystalline GaAu3F at its relaxed geometry (PBE, Alexandria via LeMat-Bulk).

Geometry as CIF:
```
data_GaAu3F
_cell_length_a 4.650
_cell_length_b 4.650
_cell_length_c 4.650
_cell_angle_alpha 90.00
_cell_angle_beta 90.00
_cell_angle_gamma 90.00
_symmetry_space_group_name_H-M 'P 1'
_symmetry_Int_Tables_number 1
loop_
_symmetry_equiv_pos_as_xyz
'x,y,z'
loop_
_atom_site_label
_atom_site_type_symbol
_atom_site_fract_x
_atom_site_fract_y
_atom_site_fract_z
Ga1 Ga 0.000 0.000 0.000
Au1 Au 0.000 0.500 0.500
Au2 Au 0.500 0.000 0.500
Au3 Au 0.500 0.500 0.000
F1 F 0.500 0.500 0.500
```

Summary:
The calculation puts the spin magnetization at 0.000 μB/atom.



Entry 2
# GaAu3F

Crystalline GaAu3F at its relaxed geometry (PBE, Alexandria via LeMat-Bulk).

Geometry as CIF:
```
data_GaAu3F
_cell_length_a 4.876
_cell_length_b 4.876
_cell_length_c 4.876
_cell_angle_alpha 90.00
_cell_angle_beta 90.00
_cell_angle_gamma 90.00
_symmetry_space_group_name_H-M 'P 1'
_symmetry_Int_Tables_number 1
loop_
_symmetry_equiv_pos_as_xyz
'x,y,z'
loop_
_atom_site_label
_atom_site_type_symbol
_atom_site_fract_x
_atom_site_fract_y
_atom_site_fract_z
Ga1 Ga 0.000 0.000 0.000
Au1 Au 0.000 0.000 0.500
Au2 Au 0.000 0.500 0.000
Au3 Au 0.500 0.000 0.000
F1 F 0.500 0.500 0.500
```

Summary:
The calculation puts the spin magnetization at 0.000 μB/atom.



Relative energies with respect to the most stable structure, expressed in meV/atom: entry 1 7; entry 2 0.